# 1
The following is a DFT calculation (SCAN) of a crystal of Y2ZrSi relaxed with PBEsol.

Lattice parameters (Å, degrees): 3.7938 3.8174 6.2840 90.00 90.00 90.00
Fractional positions:
Y: 0.0000 0.0000 0.2231
Y: 0.0000 0.0000 0.7769
Zr: 0.5000 0.5000 0.5000
Si: 0.5000 0.5000 0.0000

Output
**Density of states at the Fermi level**: 3.4 states/eV per cell
**Electronic total energy**: -97.22 eV for the cell shown
**E above lowest polymorph**: 0 meV per atom
**Uncorrected formation energy**: -0.82 eV per formula unit

---

# 2
The following is a DFT calculation (SCAN) of a crystal of Y2ZrSi relaxed with PBEsol.

Lattice parameters (Å, degrees): 5.5601 5.5601 5.5601 133.59 133.59 67.72
Fractional positions:
Y: 0.0000 0.0000 0.0000
Y: 0.7500 0.2500 0.5000
Zr: 0.5000 0.5000 0.0000
Si: 0.2500 0.7500 0.5000

Output
**Density of states at the Fermi level**: 3.6 states/eV per cell
**Electronic total energy**: -97.07 eV for the cell shown
**E above lowest polymorph**: 38 meV per atom
**Uncorrected formation energy**: -0.67 eV per formula unit

---

# 3
The following is a DFT calculation (SCAN) of a crystal of Zn3Si relaxed with PBEsol.

Lattice parameters (Å, degrees): 2.5614 4.8099 4.8102 90.00 90.00 90.00
Fractional positions:
Zn: 0.0000 0.0000 0.0000
Zn: 0.0000 0.5000 0.4916
Zn: 0.5000 0.5000 0.9915
Si: 0.5000 0.0000 0.5000

Output
**Density of states at the Fermi level**: 1.3 states/eV per cell
**Electronic total energy**: -49.56 eV for the cell shown
**Uncorrected formation energy**: 1.00 eV per formula unit

---

# 4
The following is a DFT calculation (SCAN) of a crystal of ZnSi relaxed with PBEsol.

Lattice parameters (Å, degrees): 5.1045 2.5132 4.7731 90.00 90.00 90.00
Fractional positions:
Zn: 0.2500 0.0000 0.0011
Zn: 0.7500 0.0000 0.9989
Si: 0.2500 0.5000 0.5010
Si: 0.7500 0.5000 0.4990

Output
**Density of states at the Fermi level**: 1.4 states/eV per cell
**Electronic total energy**: -45.56 eV for the cell shown
**Uncorrected formation energy**: 0.75 eV per formula unit

---

# 5
The following is a DFT calculation (SCAN) of a crystal of ZnSi relaxed with PBEsol.

Lattice parameters (Å, degrees): 2.6622 2.6622 5.0319 90.00 90.00 123.90
Fractional positions:
Zn: 0.0000 0.0000 0.0000
Si: 0.5000 0.5000 0.5000

Output
**Density of states at the Fermi level**: 0.7 states/eV per cell
**Electronic total energy**: -22.70 eV for the cell shown
**Uncorrected formation energy**: 0.83 eV per formula unit

---

# 6
The following is a DFT calculation (SCAN) of a crystal of ZnSi3 relaxed with PBEsol.

Lattice parameters (Å, degrees): 3.6061 3.6061 4.6261 90.00 90.00 91.82
Fractional positions:
Zn: 0.0000 0.0000 0.0000
Si: 0.2513 0.7487 0.5000
Si: 0.5000 0.5000 0.0000
Si: 0.7487 0.2513 0.5000

Output
**Density of states at the Fermi level**: 1.7 states/eV per cell
**Electronic total energy**: -41.68 eV for the cell shown
**Uncorrected formation energy**: 1.88 eV per formula unit

---

# 7
The following is a DFT calculation (SCAN) of a crystal of Zn3Si relaxed with PBEsol.

Lattice parameters (Å, degrees): 2.6177 2.6177 9.7325 90.00 90.00 120.00
Fractional positions:
Zn: 0.0000 0.0000 0.0000
Zn: 0.3333 0.6667 0.2444
Zn: 0.3333 0.6667 0.7556
Si: 0.0000 0.0000 0.5000

Output
**Density of states at the Fermi level**: 1.2 states/eV per cell
**Electronic total energy**: -49.67 eV for the cell shown
**Uncorrected formation energy**: 0.89 eV per formula unit

---

# 8
The following is a DFT calculation (SCAN) of a crystal of Zn2Si relaxed with PBEsol.

Lattice parameters (Å, degrees): 6.0616 6.0616 3.8908 90.00 90.00 142.20
Fractional positions:
Zn: 0.0000 0.0000 0.0000
Zn: 0.1655 0.8345 0.5000
Zn: 0.5000 0.5000 0.5000
Zn: 0.8345 0.1655 0.5000
Si: 0.3346 0.6654 0.0000
Si: 0.6654 0.3346 0.0000

Output
**Density of states at the Fermi level**: 2.0 states/eV per cell
**Electronic total energy**: -72.20 eV for the cell shown
**Uncorrected formation energy**: 0.94 eV per formula unit